[1]
Compound: Be4PtPb
Source: the Alexandria database
Functional: PBE
Structure: relaxed

abc: 4.732 4.732 4.732
angles: 60.00 60.00 60.00
Element x y z (fractional)
Be  0.379  0.379  0.379
Be  0.379  0.379  0.862
Be  0.379  0.862  0.379
Be  0.862  0.379  0.379
Pt  0.750  0.750  0.750
Pb  0.000  0.000  0.000

energy of formation from the pure elements: 0.135 eV per atom
spin magnetization: 0.00 μB/f.u.

[2]
Compound: MoRuS2N
Source: the Alexandria database
Functional: PBE
Structure: relaxed

abc: 4.780 4.780 3.625
angles: 90.00 90.00 90.00
Element x y z (fractional)
Mo  0.000  0.000  0.000
Ru  0.500  0.500  0.500
S  0.000  0.500  0.500
S  0.500  0.000  0.500
N  0.500  0.500  0.000

energy relative to the elements, uncorrected: 730 meV per atom
excess energy over the best structure of this formula in the dataset: 0 meV per atom
spin magnetization: 2.81 μB/f.u.

Calculated total energy per entry: -23.844; -33.035 eV/cell